(1)
Density functional theory data (PBE-GGA) for a geometry-optimized Ac6In2N structure.

ΔE_f (raw)   -0.397 eV/atom
Calculated volume   629.5 Å³/cell
N(E_F)   8.81 states/eV/f.u.
Total energy   -0.172 Ha/atom
Magnetization   0.00 μB/cell

a = 7.630 Å, b = 7.630 Å, c = 13.233 Å
α = 90.00°, β = 125.20°, γ = 90.00°
Space group P2_1/c (No. 14)
Asymmetric unit:
Ac  0.242  0.000  0.244
Ac  0.242  0.246  0.001
Ac  0.247  0.741  0.501
In  0.250  0.000  0.750
N  0.000  0.000  0.000

***

(2)
Density functional theory data (PBE-GGA) for a geometry-optimized Ac2InN structure.

ΔE_f (raw)   -0.733 eV/atom
Calculated volume   441.5 Å³/cell
N(E_F)   2.16 states/eV/f.u.
Total energy   -0.204 Ha/atom
Offset from the most stable computed form   0 meV per atom
Magnetization   0.00 μB/cell

a = 3.883 Å, b = 21.200 Å, c = 5.363 Å
α = 90.00°, β = 90.00°, γ = 90.00°
Space group Cmcm (No. 63)
Asymmetric unit:
Ac  0.000  0.111  0.250
Ac  0.000  0.290  0.250
In  0.000  0.459  0.250
N  0.000  0.305  0.750

***

(3)
Density functional theory data (PBE-GGA) for a geometry-optimized Ac9In3N2 structure.

ΔE_f (raw)   -0.504 eV/atom
Calculated volume   467.4 Å³/cell
N(E_F)   9.53 states/eV/f.u.
Total energy   -0.181 Ha/atom
Magnetization   0.52 μB/cell

a = 7.6085 Å, b = 7.6085 Å, c = 9.3230 Å
α = 90.00°, β = 90.00°, γ = 120.00°
Space group P-3m1 (No. 164)
Asymmetric unit:
Ac  0.0000  0.5000  0.0000
Ac  0.1708  0.3417  0.6726
In  0.0000  0.0000  0.0000
In  0.3333  0.6667  0.3327
N  0.3333  0.6667  0.8290

***

(4)
Density functional theory data (PBE-GGA) for a geometry-optimized Ac2NdInN structure.

ΔE_f (raw)   -0.720 eV/atom
Calculated volume   145.6 Å³/cell
N(E_F)   3.29 states/eV/f.u.
Total energy   -0.203 Ha/atom
Magnetization   0.00 μB/cell

a = 5.333 Å, b = 5.333 Å, c = 5.120 Å
α = 90.00°, β = 90.00°, γ = 90.00°
Space group P4/mmm (No. 123)
Asymmetric unit:
Ac  0.000  0.500  0.000
Nd  0.000  0.000  0.500
In  0.500  0.500  0.500
N  0.000  0.000  0.000

***

(5)
Density functional theory data (PBE-GGA) for a geometry-optimized AcNd2InN structure.

ΔE_f (raw)   -0.773 eV/atom
Calculated volume   137.0 Å³/cell
N(E_F)   3.16 states/eV/f.u.
Total energy   -0.210 Ha/atom
Magnetization   0.00 μB/cell

a = 5.098 Å, b = 5.098 Å, c = 5.271 Å
α = 90.00°, β = 90.00°, γ = 90.00°
Space group P4/mmm (No. 123)
Asymmetric unit:
Ac  0.000  0.000  0.000
Nd  0.000  0.500  0.500
In  0.500  0.500  0.000
N  0.000  0.000  0.500

***

(6)
Density functional theory data (PBE-GGA) for a geometry-optimized Ac6In2OsN structure.

ΔE_f (raw)   -0.322 eV/atom
Calculated volume   699.0 Å³/cell
N(E_F)   7.62 states/eV/f.u.
Total energy   -0.194 Ha/atom
Magnetization   0.00 μB/cell

a = 7.913 Å, b = 11.170 Å, c = 7.909 Å
α = 90.00°, β = 90.00°, γ = 90.00°
Space group Pmmn (No. 59, origin choice 2)
Asymmetric unit:
Ac  0.006  0.250  0.015
Ac  0.012  0.250  0.498
Ac  0.250  0.010  0.252
In  0.250  0.501  0.747
Os  0.250  0.750  0.253
N  0.250  0.250  0.238

***

(7)
Density functional theory data (PBE-GGA) for a geometry-optimized Ac2InP2N6 structure.

ΔE_f (raw)   -0.499 eV/atom
Calculated volume   176.3 Å³/cell
N(E_F)   3.20 states/eV/f.u.
Total energy   -0.258 Ha/atom
Magnetization   0.11 μB/cell

a = 5.7308 Å, b = 5.7308 Å, c = 6.1999 Å
α = 90.00°, β = 90.00°, γ = 120.00°
Space group P-3 (No. 147)
Asymmetric unit:
Ac  0.3333  0.6667  0.3169
In  0.0000  0.0000  0.0000
P  0.3333  0.6667  0.8179
N  0.1241  0.3557  0.7659

***

(8)
Density functional theory data (PBE-GGA) for a geometry-optimized Ac2PaInN5 structure.

ΔE_f (raw)   -0.880 eV/atom
Calculated volume   604.2 Å³/cell
N(E_F)   6.80 states/eV/f.u.
Total energy   -0.286 Ha/atom
Magnetization   0.00 μB/cell

a = 3.658 Å, b = 14.647 Å, c = 11.276 Å
α = 90.00°, β = 90.00°, γ = 90.00°
Space group Cmc2_1 (No. 36)
Asymmetric unit:
Ac  0.000  0.110  0.000
Ac  0.000  0.131  0.597
Pa  0.000  0.213  0.312
In  0.000  0.481  0.777
N  0.000  0.062  0.362
N  0.000  0.280  0.943
N  0.000  0.302  0.685
N  0.000  0.363  0.313
N  0.000  0.495  0.086

***

(9)
Density functional theory data (PBE-GGA) for a geometry-optimized Ac4InPbN structure.

ΔE_f (raw)   -0.621 eV/atom
Calculated volume   973.3 Å³/cell
N(E_F)   3.19 states/eV/f.u.
Total energy   -0.187 Ha/atom
Magnetization   0.00 μB/cell

a = 7.330 Å, b = 18.062 Å, c = 7.351 Å
α = 90.00°, β = 90.00°, γ = 90.00°
Space group Cmcm (No. 63)
Asymmetric unit:
Ac  0.000  0.074  0.250
Ac  0.000  0.416  0.250
Ac  0.250  0.250  0.000
In  0.000  0.387  0.750
Pb  0.000  0.111  0.750
N  0.000  0.274  0.250

***

(10)
Density functional theory data (PBE-GGA) for a geometry-optimized Ac7InPb2N2 structure.

ΔE_f (raw)   -0.685 eV/atom
Calculated volume   793.8 Å³/cell
N(E_F)   6.91 states/eV/f.u.
Total energy   -0.195 Ha/atom
Magnetization   0.00 μB/cell

a = 5.316 Å, b = 5.316 Å, c = 28.090 Å
α = 90.00°, β = 90.00°, γ = 90.00°
Space group I4/mmm (No. 139)
Asymmetric unit:
Ac  0.000  0.000  0.000
Ac  0.000  0.000  0.195
Ac  0.000  0.500  0.094
In  0.000  0.000  0.500
Pb  0.000  0.000  0.320
N  0.000  0.000  0.101

***

(11)
Density functional theory data (PBE-GGA) for a geometry-optimized Ac2PmInN structure.

ΔE_f (raw)   -0.725 eV/atom
Calculated volume   144.5 Å³/cell
N(E_F)   3.27 states/eV/f.u.
Total energy   -0.203 Ha/atom
Magnetization   0.00 μB/cell

a = 5.341 Å, b = 5.341 Å, c = 5.065 Å
α = 90.00°, β = 90.00°, γ = 90.00°
Space group P4/mmm (No. 123)
Asymmetric unit:
Ac  0.000  0.500  0.000
Pm  0.000  0.000  0.500
In  0.500  0.500  0.500
N  0.000  0.000  0.000

***

(12)
Density functional theory data (PBE-GGA) for a geometry-optimized AcPm2InN structure.

ΔE_f (raw)   -0.787 eV/atom
Calculated volume   134.7 Å³/cell
N(E_F)   3.01 states/eV/f.u.
Total energy   -0.210 Ha/atom
Magnetization   0.00 μB/cell

a = 5.057 Å, b = 5.057 Å, c = 5.268 Å
α = 90.00°, β = 90.00°, γ = 90.00°
Space group P4/mmm (No. 123)
Asymmetric unit:
Ac  0.000  0.000  0.000
Pm  0.000  0.500  0.500
In  0.500  0.500  0.000
N  0.000  0.000  0.500